RbScV2O8 after structural relaxation, computed with PBE with a Hubbard U.

CIF file:
```
data_RbScV2O8
_chemical_formula_sum 'Rb1 Sc1 V2 O8'
_space_group_name_H-M_alt 'P -3 m 1'
_space_group_IT_number 164
_space_group_name_Hall '-P 3 2"'
_cell_length_a 5.7979
_cell_length_b 5.7979
_cell_length_c 7.8600
_cell_angle_alpha 90.00
_cell_angle_beta 90.00
_cell_angle_gamma 120.00
loop_
_atom_site_label
_atom_site_type_symbol
_atom_site_fract_x
_atom_site_fract_y
_atom_site_fract_z
Rb1 Rb 0.0000 0.0000 0.0000
Sc1 Sc 0.0000 0.0000 0.5000
V1 V 0.3333 0.6667 0.7273
O1 O 0.1680 0.3360 0.6570
O2 O 0.3333 0.6667 0.9434
```

Raw total energy ... -85.29 eV/cell
Crystal system ... trigonal
Total magnetic moment ... 0.17 μB per atom